[1]
DFT (SCAN) results for Li2CrAsRu at its PBEsol-relaxed geometry.

Structure (CIF):
```
data_Li2CrAsRu
_symmetry_space_group_name_H-M 'P 1'
_symmetry_Int_Tables_number 1
_cell_length_a 4.313
_cell_length_b 4.313
_cell_length_c 4.468
_cell_angle_alpha 90.00
_cell_angle_beta 90.00
_cell_angle_gamma 90.00
loop_
_symmetry_equiv_pos_as_xyz
'x,y,z'
loop_
_atom_site_label
_atom_site_type_symbol
_atom_site_fract_x
_atom_site_fract_y
_atom_site_fract_z
Li1 Li 0.000 0.500 0.000
Li2 Li 0.500 0.000 0.000
Cr1 Cr 0.000 0.000 0.000
As1 As 0.000 0.000 0.500
Ru1 Ru 0.500 0.500 0.500
```

Values from the calculation:
- space group = No. 123
- energy of formation from the pure elements (eV/atom) = 0.85


[2]
DFT (SCAN) results for TbB3O6 at its PBEsol-relaxed geometry.

Structure (CIF):
```
data_TbB3O6
_symmetry_space_group_name_H-M 'P 1'
_symmetry_Int_Tables_number 1
_cell_length_a 6.450
_cell_length_b 6.450
_cell_length_c 6.450
_cell_angle_alpha 124.20
_cell_angle_beta 99.45
_cell_angle_gamma 105.89
loop_
_symmetry_equiv_pos_as_xyz
'x,y,z'
loop_
_atom_site_label
_atom_site_type_symbol
_atom_site_fract_x
_atom_site_fract_y
_atom_site_fract_z
Tb1 Tb 0.250 0.250 0.000
Tb2 Tb 0.750 0.750 0.000
B1 B 0.186 0.621 0.808
B2 B 0.250 0.750 0.500
B3 B 0.314 0.121 0.435
B4 B 0.686 0.879 0.565
B5 B 0.750 0.250 0.500
B6 B 0.814 0.379 0.192
O1 O 0.052 0.498 0.245
O2 O 0.158 0.066 0.224
O3 O 0.248 0.002 0.554
O4 O 0.252 0.806 0.755
O5 O 0.342 0.566 0.908
O6 O 0.448 0.694 0.446
O7 O 0.552 0.306 0.554
O8 O 0.658 0.434 0.092
O9 O 0.748 0.194 0.245
O10 O 0.752 0.998 0.446
O11 O 0.842 0.934 0.776
O12 O 0.948 0.502 0.755
```

Values from the calculation:
- space group = No. 72
- formation energy from raw total energies (meV per atom) = -3009


[3]
DFT (SCAN) results for SrSeBr at its PBEsol-relaxed geometry.

Structure (CIF):
```
data_SrSeBr
_symmetry_space_group_name_H-M 'P 1'
_symmetry_Int_Tables_number 1
_cell_length_a 5.088
_cell_length_b 5.088
_cell_length_c 5.088
_cell_angle_alpha 60.00
_cell_angle_beta 60.00
_cell_angle_gamma 60.00
loop_
_symmetry_equiv_pos_as_xyz
'x,y,z'
loop_
_atom_site_label
_atom_site_type_symbol
_atom_site_fract_x
_atom_site_fract_y
_atom_site_fract_z
Sr1 Sr 0.000 0.000 0.000
Se1 Se 0.500 0.500 0.500
Br1 Br 0.250 0.250 0.250
```

Values from the calculation:
- space group = No. 216
- formation energy from raw total energies (meV per atom) = -1135


[4]
DFT (SCAN) results for GaNi2Hg at its PBEsol-relaxed geometry.

Structure (CIF):
```
data_GaNi2Hg
_symmetry_space_group_name_H-M 'P 1'
_symmetry_Int_Tables_number 1
_cell_length_a 4.240
_cell_length_b 4.240
_cell_length_c 4.240
_cell_angle_alpha 60.00
_cell_angle_beta 60.00
_cell_angle_gamma 60.00
loop_
_symmetry_equiv_pos_as_xyz
'x,y,z'
loop_
_atom_site_label
_atom_site_type_symbol
_atom_site_fract_x
_atom_site_fract_y
_atom_site_fract_z
Ga1 Ga 0.000 0.000 0.000
Ni1 Ni 0.250 0.250 0.250
Ni2 Ni 0.750 0.750 0.750
Hg1 Hg 0.500 0.500 0.500
```

Values from the calculation:
- space group = No. 225
- energy of formation from the pure elements (eV/atom) = 0.04


[5]
DFT (SCAN) results for CaYCu2 at its PBEsol-relaxed geometry.

Structure (CIF):
```
data_CaYCu2
_symmetry_space_group_name_H-M 'P 1'
_symmetry_Int_Tables_number 1
_cell_length_a 4.900
_cell_length_b 4.900
_cell_length_c 3.378
_cell_angle_alpha 90.00
_cell_angle_beta 90.00
_cell_angle_gamma 90.06
loop_
_symmetry_equiv_pos_as_xyz
'x,y,z'
loop_
_atom_site_label
_atom_site_type_symbol
_atom_site_fract_x
_atom_site_fract_y
_atom_site_fract_z
Ca1 Ca 0.000 0.000 0.000
Y1 Y 0.500 0.500 0.000
Cu1 Cu 0.000 0.500 0.500
Cu2 Cu 0.500 0.000 0.500
```

Values from the calculation:
- space group = No. 65
- energy of formation from the pure elements (eV/atom) = -0.15


[6]
DFT (SCAN) results for La5Sc at its PBEsol-relaxed geometry.

Structure (CIF):
```
data_La5Sc
_symmetry_space_group_name_H-M 'P 1'
_symmetry_Int_Tables_number 1
_cell_length_a 5.805
_cell_length_b 9.488
_cell_length_c 9.488
_cell_angle_alpha 21.81
_cell_angle_beta 90.00
_cell_angle_gamma 90.00
loop_
_symmetry_equiv_pos_as_xyz
'x,y,z'
loop_
_atom_site_label
_atom_site_type_symbol
_atom_site_fract_x
_atom_site_fract_y
_atom_site_fract_z
La1 La 0.000 0.000 0.000
La2 La 0.000 0.324 0.324
La3 La 0.500 0.213 0.213
La4 La 0.500 0.554 0.554
La5 La 0.500 0.883 0.883
Sc1 Sc 0.000 0.661 0.661
```

Values from the calculation:
- space group = No. 38
- E above lowest polymorph (meV per atom) = 35.7
- energy of formation from the pure elements (eV/atom) = 0.06


[7]
DFT (SCAN) results for LiCaTa at its PBEsol-relaxed geometry.

Structure (CIF):
```
data_LiCaTa
_symmetry_space_group_name_H-M 'P 1'
_symmetry_Int_Tables_number 1
_cell_length_a 5.010
_cell_length_b 5.010
_cell_length_c 5.010
_cell_angle_alpha 60.00
_cell_angle_beta 60.00
_cell_angle_gamma 60.00
loop_
_symmetry_equiv_pos_as_xyz
'x,y,z'
loop_
_atom_site_label
_atom_site_type_symbol
_atom_site_fract_x
_atom_site_fract_y
_atom_site_fract_z
Li1 Li 0.000 0.000 0.000
Ca1 Ca 0.500 0.500 0.500
Ta1 Ta 0.750 0.750 0.750
```

Values from the calculation:
- space group = No. 216
- E above lowest polymorph (meV per atom) = 833.0
- energy of formation from the pure elements (eV/atom) = 1.68


[8]
DFT (SCAN) results for Li3ZnPb at its PBEsol-relaxed geometry.

Structure (CIF):
```
data_Li3ZnPb
_symmetry_space_group_name_H-M 'P 1'
_symmetry_Int_Tables_number 1
_cell_length_a 4.690
_cell_length_b 4.690
_cell_length_c 4.690
_cell_angle_alpha 90.00
_cell_angle_beta 90.00
_cell_angle_gamma 90.00
loop_
_symmetry_equiv_pos_as_xyz
'x,y,z'
loop_
_atom_site_label
_atom_site_type_symbol
_atom_site_fract_x
_atom_site_fract_y
_atom_site_fract_z
Li1 Li 0.000 0.000 0.500
Li2 Li 0.000 0.500 0.000
Li3 Li 0.500 0.000 0.000
Zn1 Zn 0.000 0.000 0.000
Pb1 Pb 0.500 0.500 0.500
```

Values from the calculation:
- space group = No. 221
- energy of formation from the pure elements (eV/atom) = 0.00


[9]
DFT (SCAN) results for Cr2MoP at its PBEsol-relaxed geometry.

Structure (CIF):
```
data_Cr2MoP
_symmetry_space_group_name_H-M 'P 1'
_symmetry_Int_Tables_number 1
_cell_length_a 7.988
_cell_length_b 7.988
_cell_length_c 7.988
_cell_angle_alpha 19.62
_cell_angle_beta 19.62
_cell_angle_gamma 19.62
loop_
_symmetry_equiv_pos_as_xyz
'x,y,z'
loop_
_atom_site_label
_atom_site_type_symbol
_atom_site_fract_x
_atom_site_fract_y
_atom_site_fract_z
Cr1 Cr 0.242 0.242 0.242
Cr2 Cr 0.758 0.758 0.758
Mo1 Mo 0.000 0.000 0.000
P1 P 0.500 0.500 0.500
```

Values from the calculation:
- space group = No. 166
- energy of formation from the pure elements (eV/atom) = 0.27


[10]
DFT (SCAN) results for Mg3InSn at its PBEsol-relaxed geometry.

Structure (CIF):
```
data_Mg3InSn
_symmetry_space_group_name_H-M 'P 1'
_symmetry_Int_Tables_number 1
_cell_length_a 5.331
_cell_length_b 5.331
_cell_length_c 5.331
_cell_angle_alpha 90.00
_cell_angle_beta 90.00
_cell_angle_gamma 90.00
loop_
_symmetry_equiv_pos_as_xyz
'x,y,z'
loop_
_atom_site_label
_atom_site_type_symbol
_atom_site_fract_x
_atom_site_fract_y
_atom_site_fract_z
Mg1 Mg 0.000 0.000 0.500
Mg2 Mg 0.000 0.500 0.000
Mg3 Mg 0.500 0.000 0.000
In1 In 0.500 0.500 0.500
Sn1 Sn 0.000 0.000 0.000
```

Values from the calculation:
- space group = No. 221
- energy of formation from the pure elements (eV/atom) = 0.29


[11]
DFT (SCAN) results for NaZnP at its PBEsol-relaxed geometry.

Structure (CIF):
```
data_NaZnP
_symmetry_space_group_name_H-M 'P 1'
_symmetry_Int_Tables_number 1
_cell_length_a 3.995
_cell_length_b 3.995
_cell_length_c 8.525
_cell_angle_alpha 90.00
_cell_angle_beta 90.00
_cell_angle_gamma 120.00
loop_
_symmetry_equiv_pos_as_xyz
'x,y,z'
loop_
_atom_site_label
_atom_site_type_symbol
_atom_site_fract_x
_atom_site_fract_y
_atom_site_fract_z
Na1 Na 0.000 0.000 0.000
Na2 Na 0.000 0.000 0.500
Zn1 Zn 0.333 0.667 0.250
Zn2 Zn 0.667 0.333 0.750
P1 P 0.333 0.667 0.750
P2 P 0.667 0.333 0.250
```

Values from the calculation:
- space group = No. 194
- energy of formation from the pure elements (eV/atom) = -0.53


[12]
DFT (SCAN) results for In3Pb at its PBEsol-relaxed geometry.

Structure (CIF):
```
data_In3Pb
_symmetry_space_group_name_H-M 'P 1'
_symmetry_Int_Tables_number 1
_cell_length_a 3.300
_cell_length_b 4.753
_cell_length_c 6.752
_cell_angle_alpha 90.00
_cell_angle_beta 90.00
_cell_angle_gamma 90.00
loop_
_symmetry_equiv_pos_as_xyz
'x,y,z'
loop_
_atom_site_label
_atom_site_type_symbol
_atom_site_fract_x
_atom_site_fract_y
_atom_site_fract_z
In1 In 0.000 0.000 0.000
In2 In 0.500 0.500 0.240
In3 In 0.500 0.500 0.760
Pb1 Pb 0.000 0.000 0.500
```

Values from the calculation:
- space group = No. 47
- energy of formation from the pure elements (eV/atom) = 0.07